Sm2Pd9Pt after structural relaxation, computed with PBE.

The energy relative to the elements comes out at -0.53 eV/atom. The total DFT energy (no corrections) comes out at -5.71 eV/atom. The density of states at the Fermi level comes out at 9.52 states/eV/cell.

The space group is P4/mmm (No. 123) and the conventional cell measures 4.113, 4.113 and 12.234 Å, with angles of 90.00, 90.00 and 90.00 degrees. The distinct sites, in fractional coordinates, are Sm at (0.000, 0.000, 0.173), Pd at (0.000, 0.500, 0.000), Pd at (0.000, 0.500, 0.345), Pd at (0.500, 0.500, 0.173), Pd at (0.500, 0.500, 0.500) and Pt at (0.000, 0.000, 0.500).